CaTa2Cd | SCAN | single point on PBEsol structure

a = 2.8252 Å, b = 2.8252 Å, c = 10.3865 Å
α = 90.00°, β = 90.00°, γ = 104.40°
Last column: nearest neighbours and their distance in Å.
Fractional positions:
1 Ca 0.0000 0.0000 0.0000  4 Ca 2.83
2 Ta 0.5000 0.5000 0.2666  4 Ta 2.83, 2 Cd 2.98
3 Ta 0.5000 0.5000 0.7334  4 Ta 2.83, 2 Cd 2.98
4 Cd 0.0000 0.0000 0.5000  4 Cd 2.83, 4 Ta 2.98

Spin magnetization   0.00 μB per formula unit
DOS at the Fermi energy   3.92 states/eV/cell
Raw total energy   -42.6986 eV/atom